(1)
First-principles (PBE) data for MnPb2Cl6 after structural relaxation, as listed in Alexandria.

Unit cell a=13.016 b=17.465 c=5.798 alpha=90.00 beta=116.24 gamma=90.00
Space group C2/c (No. 15)
Unique sites:
Mn: 0.000 0.169 0.250 [4 per cell]
Pb: 0.152 0.398 0.642 [8 per cell]
Cl: 0.114 0.089 0.126 [8 per cell]
Cl: 0.118 0.423 0.117 [8 per cell]
Cl: 0.126 0.240 0.612 [8 per cell]

Output
Raw total energy = -4.175 eV/atom
M_tot = 20.00 μB/cell
ΔE_f (raw) = -1.101 eV per atom
Energy above the most stable polymorph in this dataset = 11.3 meV per atom

(2)
First-principles (PBE) data for MnPbCl2 after structural relaxation, as listed in Alexandria.

Unit cell a=3.5333 b=3.5333 c=31.8488 alpha=90.00 beta=90.00 gamma=120.00
Space group R-3m (No. 166, hexagonal axes)
Unique sites:
Mn: 0.0000 0.0000 0.0000 [3 per cell]
Pb: 0.0000 0.0000 0.5000 [3 per cell]
Cl: 0.0000 0.0000 0.2868 [6 per cell]

Output
Raw total energy = -4.804 eV/atom
M_tot = 14.30 μB/cell
ΔE_f (raw) = -0.661 eV per atom
Energy above the most stable polymorph in this dataset = 0.0 meV per atom

(3)
First-principles (PBE) data for MnPbCl2 after structural relaxation, as listed in Alexandria.

Unit cell a=11.487 b=3.449 c=5.712 alpha=90.00 beta=109.91 gamma=90.00
Space group C2/m (No. 12)
Unique sites:
Mn: 0.000 0.000 0.000 [2 per cell]
Pb: 0.000 0.500 0.500 [2 per cell]
Cl: 0.160 0.500 0.189 [4 per cell]

Output
Raw total energy = -4.629 eV/atom
M_tot = 8.38 μB/cell
ΔE_f (raw) = -0.486 eV per atom
Energy above the most stable polymorph in this dataset = 175.2 meV per atom

(4)
First-principles (PBE) data for MnPbCl2 after structural relaxation, as listed in Alexandria.

Unit cell a=6.412 b=8.167 c=3.787 alpha=90.00 beta=90.00 gamma=90.00
Space group Cmmm (No. 65)
Unique sites:
Mn: 0.000 0.000 0.000 [2 per cell]
Pb: 0.000 0.500 0.000 [2 per cell]
Cl: 0.250 0.250 0.500 [4 per cell]

Output
Raw total energy = -4.236 eV/atom
M_tot = 10.17 μB/cell
ΔE_f (raw) = -0.094 eV per atom
Energy above the most stable polymorph in this dataset = 567.4 meV per atom

(5)
First-principles (PBE) data for Mn2PbCl after structural relaxation, as listed in Alexandria.

Unit cell a=3.186 b=4.795 c=5.405 alpha=90.00 beta=90.00 gamma=90.00
Space group Pmmm (No. 47)
Unique sites:
Mn: 0.000 0.000 0.000 [1 per cell]
Mn: 0.500 0.000 0.500 [1 per cell]
Pb: 0.000 0.500 0.500 [1 per cell]
Cl: 0.500 0.500 0.000 [1 per cell]

Output
Raw total energy = -5.604 eV/atom
M_tot = 7.93 μB/cell
ΔE_f (raw) = 0.370 eV per atom
Energy above the most stable polymorph in this dataset = 327.2 meV per atom

(6)
First-principles (PBE) data for MnPbCl2 after structural relaxation, as listed in Alexandria.

Unit cell a=4.723 b=4.723 c=4.322 alpha=90.00 beta=90.00 gamma=90.00
Space group P4/mmm (No. 123)
Unique sites:
Mn: 0.000 0.000 0.000 [1 per cell]
Pb: 0.500 0.500 0.000 [1 per cell]
Cl: 0.000 0.500 0.500 [2 per cell]

Output
Raw total energy = -4.242 eV/atom
M_tot = 5.01 μB/cell
ΔE_f (raw) = -0.099 eV per atom
Energy above the most stable polymorph in this dataset = 561.8 meV per atom

(7)
First-principles (PBE) data for MnPb2Cl after structural relaxation, as listed in Alexandria.

Unit cell a=3.502 b=6.105 c=10.154 alpha=90.00 beta=90.00 gamma=90.00
Space group Cmm2 (No. 35)
Unique sites:
Mn: 0.000 0.000 0.000 [2 per cell]
Pb: 0.000 0.000 0.488 [2 per cell]
Pb: 0.000 0.500 0.769 [2 per cell]
Cl: 0.000 0.500 0.161 [2 per cell]

Output
Raw total energy = -4.710 eV/atom
M_tot = 8.82 μB/cell
ΔE_f (raw) = -0.101 eV per atom
Energy above the most stable polymorph in this dataset = 0.0 meV per atom

(8)
First-principles (PBE) data for MnPbCl2 after structural relaxation, as listed in Alexandria.

Unit cell a=8.152 b=8.152 c=6.123 alpha=90.00 beta=90.00 gamma=90.00
Space group I-42d (No. 122)
Unique sites:
Mn: 0.000 0.000 0.000 [4 per cell]
Pb: 0.000 0.000 0.500 [4 per cell]
Cl: 0.134 0.250 0.125 [8 per cell]

Output
Raw total energy = -4.518 eV/atom
M_tot = 13.31 μB/cell
ΔE_f (raw) = -0.375 eV per atom
Energy above the most stable polymorph in this dataset = 285.5 meV per atom

(9)
First-principles (PBE) data for Mn2PbCl after structural relaxation, as listed in Alexandria.

Unit cell a=4.020 b=4.020 c=10.557 alpha=90.00 beta=90.00 gamma=90.00
Space group I-4m2 (No. 119)
Unique sites:
Mn: 0.000 0.000 0.000 [2 per cell]
Mn: 0.000 0.500 0.250 [2 per cell]
Pb: 0.000 0.500 0.750 [2 per cell]
Cl: 0.000 0.000 0.500 [2 per cell]

Output
Raw total energy = -5.549 eV/atom
M_tot = 16.56 μB/cell
ΔE_f (raw) = 0.425 eV per atom
Energy above the most stable polymorph in this dataset = 382.4 meV per atom

(10)
First-principles (PBE) data for MnPbCl5 after structural relaxation, as listed in Alexandria.

Unit cell a=9.204 b=9.820 c=9.478 alpha=90.00 beta=108.57 gamma=90.00
Space group C2/c (No. 15)
Unique sites:
Mn: 0.250 0.250 0.000 [4 per cell]
Pb: 0.000 0.056 0.250 [4 per cell]
Cl: 0.000 0.227 0.750 [4 per cell]
Cl: 0.095 0.316 0.128 [8 per cell]
Cl: 0.212 0.022 0.051 [8 per cell]

Output
Raw total energy = -4.177 eV/atom
M_tot = 16.00 μB/cell
ΔE_f (raw) = -1.018 eV per atom
Energy above the most stable polymorph in this dataset = 0.0 meV per atom

(11)
First-principles (PBE) data for MnPbCl2 after structural relaxation, as listed in Alexandria.

Unit cell a=6.940 b=9.607 c=3.377 alpha=90.00 beta=118.95 gamma=90.00
Space group C2/m (No. 12)
Unique sites:
Mn: 0.000 0.000 0.000 [2 per cell]
Pb: 0.000 0.500 0.000 [2 per cell]
Cl: 0.000 0.188 0.500 [4 per cell]

Output
Raw total energy = -4.609 eV/atom
M_tot = 8.67 μB/cell
ΔE_f (raw) = -0.466 eV per atom
Energy above the most stable polymorph in this dataset = 194.8 meV per atom

(12)
First-principles (PBE) data for MnPb2Cl6 after structural relaxation, as listed in Alexandria.

Unit cell a=6.547 b=6.547 c=12.628 alpha=90.00 beta=90.00 gamma=90.00
Space group P4_2/mnm (No. 136)
Unique sites:
Mn: 0.000 0.000 0.000 [2 per cell]
Pb: 0.000 0.000 0.335 [4 per cell]
Cl: 0.185 0.185 0.148 [8 per cell]
Cl: 0.220 0.220 0.500 [4 per cell]

Output
Raw total energy = -4.186 eV/atom
M_tot = 10.00 μB/cell
ΔE_f (raw) = -1.112 eV per atom
Energy above the most stable polymorph in this dataset = 0.0 meV per atom